Material: LaRh3Cl
Method: DFT, PBE
State: optimized geometry

Summary:
Its crystal system is cubic. Its size of the total moment is 1.20 μB per formula unit. The calculation puts the density at 6.5 g/cm3. For the uncorrected formation energy, the calculation gives 1.0703 eV/atom.

Unit cell a=4.971 b=4.971 c=4.971 alpha=90.00 beta=90.00 gamma=90.00
Sites, in units of the cell vectors:
La: 0.000 0.000 0.000
Rh: 0.000 0.000 0.500
Rh: 0.000 0.500 0.000
Rh: 0.500 0.000 0.000
Cl: 0.500 0.500 0.500



Material: La6Rh3Cl
Method: DFT, PBE
State: optimized geometry

Summary:
Its crystal system is monoclinic. Its size of the total moment is 0.00 μB per formula unit. The calculation puts the density at 6.4 g/cm3. For the uncorrected formation energy, the calculation gives -0.7982 eV/atom.

Unit cell a=12.255 b=4.172 c=12.898 alpha=90.00 beta=111.25 gamma=90.00
Sites, in units of the cell vectors:
La: 0.047 0.250 0.392
La: 0.089 0.250 0.936
La: 0.231 0.750 0.256
La: 0.262 0.250 0.709
La: 0.407 0.750 0.552
La: 0.433 0.250 0.135
La: 0.567 0.750 0.865
La: 0.593 0.250 0.448
La: 0.738 0.750 0.291
La: 0.769 0.250 0.744
La: 0.911 0.750 0.064
La: 0.953 0.750 0.608
Rh: 0.071 0.250 0.158
Rh: 0.169 0.750 0.549
Rh: 0.493 0.750 0.292
Rh: 0.507 0.250 0.708
Rh: 0.831 0.250 0.451
Rh: 0.929 0.750 0.842
Cl: 0.352 0.750 0.929
Cl: 0.648 0.250 0.071



Material: LaRh2Cl
Method: DFT, PBE
State: optimized geometry

Summary:
Its crystal system is monoclinic. Its size of the total moment is 0.00 μB per formula unit. The calculation puts the density at 8.0 g/cm3. For the uncorrected formation energy, the calculation gives -0.3936 eV/atom.

Unit cell a=5.564 b=5.564 c=4.061 alpha=111.32 beta=111.32 gamma=117.68
Sites, in units of the cell vectors:
La: 0.000 0.000 0.000
Rh: 0.000 0.500 0.500
Rh: 0.500 0.000 0.500
Cl: 0.500 0.500 0.000



Material: LaRh2Cl
Method: DFT, PBE
State: optimized geometry

Summary:
Its crystal system is tetragonal. Its size of the total moment is 0.01 μB per formula unit. The calculation puts the density at 8.4 g/cm3. For the uncorrected formation energy, the calculation gives -0.3151 eV/atom.

Unit cell a=5.372 b=5.372 c=5.372 alpha=135.31 beta=135.31 gamma=65.05
Sites, in units of the cell vectors:
La: 0.000 0.000 0.000
Rh: 0.250 0.750 0.500
Rh: 0.500 0.500 0.000
Cl: 0.750 0.250 0.500



Material: LaRh2Cl
Method: DFT, PBE
State: optimized geometry

Summary:
Its crystal system is orthorhombic. Its size of the total moment is 0.00 μB per formula unit. The calculation puts the density at 8.4 g/cm3. For the uncorrected formation energy, the calculation gives -0.4402 eV/atom.

Unit cell a=5.603 b=5.603 c=5.603 alpha=146.18 beta=129.43 gamma=62.23
Sites, in units of the cell vectors:
La: 0.000 0.000 0.000
Rh: 0.255 0.755 0.500
Rh: 0.745 0.245 0.500
Cl: 0.500 0.500 0.000



Material: LaRh2Cl
Method: DFT, PBE
State: optimized geometry

Summary:
Its crystal system is tetragonal. Its size of the total moment is 1.44 μB per formula unit. The calculation puts the density at 7.5 g/cm3. For the uncorrected formation energy, the calculation gives -0.2254 eV/atom.

Unit cell a=3.917 b=3.917 c=5.520 alpha=90.00 beta=90.00 gamma=90.00
Sites, in units of the cell vectors:
La: 0.000 0.000 0.000
Rh: 0.500 0.500 0.235
Rh: 0.500 0.500 0.765
Cl: 0.000 0.000 0.500



Material: LaRhCl
Method: DFT, PBE
State: optimized geometry

Summary:
Its crystal system is cubic. Its size of the total moment is 0.21 μB per formula unit. The calculation puts the density at 5.9 g/cm3. For the uncorrected formation energy, the calculation gives -0.5997 eV/atom.

Unit cell a=4.788 b=4.788 c=4.788 alpha=60.00 beta=60.00 gamma=60.00
Sites, in units of the cell vectors:
La: 0.000 0.000 0.000
Rh: 0.750 0.750 0.750
Cl: 0.250 0.250 0.250



Material: LaRhCl2
Method: DFT, PBE
State: optimized geometry

Summary:
Its crystal system is orthorhombic. Its size of the total moment is 0.00 μB per formula unit. The calculation puts the density at 5.7 g/cm3. For the uncorrected formation energy, the calculation gives -1.0192 eV/atom.

Unit cell a=5.584 b=5.441 c=4.514 alpha=67.49 beta=64.19 gamma=48.32
Sites, in units of the cell vectors:
La: 0.000 0.000 0.000
Rh: 0.500 0.500 0.500
Cl: 0.000 0.500 0.500
Cl: 0.500 0.000 0.000